Record 1
A plane-wave DFT calculation with PBE was carried out for a relaxed Pr5Bi2As2 crystal.

Lattice parameters (Å, degrees): 8.990 8.990 8.343 90.00 90.00 54.92
Fractional positions:
Pr: 0.000 0.000 0.000
Pr: 0.034 0.715 0.659
Pr: 0.215 0.534 0.159
Pr: 0.285 0.966 0.659
Pr: 0.466 0.785 0.159
Pr: 0.500 0.500 0.500
Pr: 0.534 0.215 0.841
Pr: 0.715 0.034 0.341
Pr: 0.785 0.466 0.841
Pr: 0.966 0.285 0.341
Bi: 0.204 0.204 0.000
Bi: 0.296 0.296 0.500
Bi: 0.704 0.704 0.500
Bi: 0.796 0.796 0.000
As: 0.146 0.854 0.355
As: 0.354 0.646 0.855
As: 0.646 0.354 0.145
As: 0.854 0.146 0.645

Symmetry: Cmce, No. 64
Total magnetic moment, μB per cell: 0.004
Calculated total energy, eV per atom: -5.599
DFT formation energy, eV/atom: -1.048



Record 2
A plane-wave DFT calculation with PBE was carried out for a relaxed Pr4BiAs3 crystal.

Lattice parameters (Å, degrees): 4.348 4.348 29.381 90.00 90.00 120.00
Fractional positions:
Pr: 0.000 0.000 0.176
Pr: 0.000 0.000 0.324
Pr: 0.000 0.000 0.676
Pr: 0.000 0.000 0.824
Pr: 0.333 0.667 0.059
Pr: 0.333 0.667 0.441
Pr: 0.667 0.333 0.559
Pr: 0.667 0.333 0.941
Bi: 0.333 0.667 0.250
Bi: 0.667 0.333 0.750
As: 0.000 0.000 0.000
As: 0.000 0.000 0.500
As: 0.333 0.667 0.620
As: 0.333 0.667 0.880
As: 0.667 0.333 0.120
As: 0.667 0.333 0.380

Symmetry: P6_3/mmc, No. 194
Total magnetic moment, μB per cell: 0.000
Calculated total energy, eV per atom: -5.960
DFT formation energy, eV/atom: -1.342



> Which of these has the highest calculated total energy?

Pr5Bi2As2



> What is the formula in the first record?

Pr5Bi2As2



> The lowest DFT formation energy belongs to which entry?

Pr4BiAs3